1.
Below is a relaxed structure of Ce4MgAu, with properties calculated at the PBE level.

Results
DFT total energy: -4.9227 eV per atom
Magnetization: 2.08 μB/cell
DFT formation energy: -0.15 eV per atom

```
data_Ce4MgAu
_space_group_name_H-M_alt 'P 1'
_space_group_IT_number 1
_cell_length_a 5.544
_cell_length_b 5.544
_cell_length_c 10.940
_cell_angle_alpha 83.18
_cell_angle_beta 83.18
_cell_angle_gamma 65.99
loop_
_space_group_symop_operation_xyz
'x,y,z'
loop_
_atom_site_label
_atom_site_type_symbol
_atom_site_fract_x
_atom_site_fract_y
_atom_site_fract_z
_atom_site_occupancy
Ce1 Ce 0.850 0.361 0.980 1
Ce2 Ce 0.366 0.342 0.738 1
Au1 Au 0.000 0.500 0.500 1
Au2 Au 0.500 0.000 0.000 1
Ce3 Ce 0.658 0.634 0.762 1
Mg1 Mg 0.008 0.992 0.750 1
Ce4 Ce 0.150 0.639 0.020 1
Ce5 Ce 0.361 0.850 0.480 1
Ce6 Ce 0.634 0.658 0.262 1
Ce7 Ce 0.342 0.366 0.238 1
Mg2 Mg 0.992 0.008 0.250 1
Ce8 Ce 0.639 0.150 0.520 1
```


2.
Below is a relaxed structure of TaFeRe2S, with properties calculated at the PBE level.

Results
E_form (uncorrected): 720 kJ/mol of formula units
DFT total energy: -8.3761 eV per atom
Magnetization: 0.00 μB/cell

```
data_TaFeRe2S
_space_group_name_H-M_alt 'P 1'
_space_group_IT_number 1
_cell_length_a 4.436
_cell_length_b 4.562
_cell_length_c 4.436
_cell_angle_alpha 90.00
_cell_angle_beta 90.00
_cell_angle_gamma 90.00
loop_
_space_group_symop_operation_xyz
'x,y,z'
loop_
_atom_site_label
_atom_site_type_symbol
_atom_site_fract_x
_atom_site_fract_y
_atom_site_fract_z
_atom_site_occupancy
Fe1 Fe 0.000 0.000 0.000 1
S1 S 0.500 0.500 0.500 1
Re1 Re 0.500 0.000 0.000 1
Re2 Re 0.000 0.000 0.500 1
Ta1 Ta 0.000 0.500 0.000 1
```